The following is a DFT calculation (GGA-PBE) of Cs2SrGa2I6 after structural relaxation.

The structure in CIF format:
```
data_Cs2SrGa2I6
_cell_length_a 13.7217
_cell_length_b 8.8635
_cell_length_c 9.7537
_cell_angle_alpha 90.00
_cell_angle_beta 111.97
_cell_angle_gamma 90.00
_symmetry_space_group_name_H-M 'C 1 2/m 1'
_symmetry_Int_Tables_number 12
_symmetry_space_group_name_Hall '-C 2y'
loop_
_atom_site_label
_atom_site_type_symbol
_atom_site_fract_x
_atom_site_fract_y
_atom_site_fract_z
_atom_site_occupancy
Cs1 Cs 0.2003 0.0000 0.1494 1
Sr1 Sr 0.0000 0.0000 0.5000 1
Ga1 Ga 0.0770 0.5000 0.1533 1
I1 I 0.0484 0.2439 0.7854 1
I2 I 0.2477 0.0000 0.5555 1
```

***

The following is a DFT calculation (GGA-PBE) of CeCdSi after structural relaxation.

The structure in CIF format:
```
data_CeCdSi
_cell_length_a 4.2768
_cell_length_b 16.8802
_cell_length_c 3.8573
_cell_angle_alpha 90.00
_cell_angle_beta 90.00
_cell_angle_gamma 90.00
_symmetry_space_group_name_H-M 'C m c m'
_symmetry_Int_Tables_number 63
_symmetry_space_group_name_Hall '-C 2c 2'
loop_
_atom_site_label
_atom_site_type_symbol
_atom_site_fract_x
_atom_site_fract_y
_atom_site_fract_z
_atom_site_occupancy
Ce1 Ce 0.0000 0.0932 0.2500 1
Cd1 Cd 0.0000 0.2891 0.2500 1
Si1 Si 0.0000 0.4584 0.2500 1
```

***

Number 1: formation energy (no corrections) -1121 meV per atom, total moment 0.00 μB/cell. Number 2: formation energy (no corrections) -436 meV per atom, total moment 2.69 μB/cell.